Compound: CuHg
Source: Alexandria
Functional: PBE-GGA
Structure: relaxed

Lattice parameters (Å, degrees): 4.1399 5.2332 5.2332 104.61 90.00 90.00
Sites, in units of the cell vectors:
Cu1 0.0000 0.0000 0.0000
Cu2 0.5000 0.0975 0.7723
Cu3 0.5000 0.7723 0.0975
Hg1 0.0000 0.4555 0.8269
Hg2 0.0000 0.8269 0.4555
Hg3 0.5000 0.3291 0.3291

Properties
DFT formation energy   0.180 eV per atom
DOS at the Fermi energy   0.476 states/eV/f.u.
Space-group type   Amm2
Crystal system   orthorhombic